1.
## HfGa (GGA-PBE)

Data for a relaxed HfGa crystal.

The space group is Immm (No. 71) and the conventional cell measures 3.828, 4.069 and 14.565 Å, with angles of 90.00, 90.00 and 90.00 degrees. The asymmetric unit holds Hf at (0.000, 0.000, 0.000), Hf at (0.000, 0.500, 0.327), Ga at (0.000, 0.000, 0.500) and Ga at (0.000, 0.500, 0.137).

The total energy comes out at -6.914 eV per atom. As for the density of states at the Fermi level: 8.45 states/eV per cell. Its formation energy is -0.4242 eV per atom.

***

2.
## HfGa2 (GGA-PBE)

Data for a relaxed HfGa2 crystal.

The space group is I4_1/amd (No. 141, origin choice 2) and the conventional cell measures 4.069, 4.069 and 25.490 Å, with angles of 90.00, 90.00 and 90.00 degrees. The asymmetric unit holds Hf at (0.000, 0.250, 0.299), Ga at (0.000, 0.250, 0.124) and Ga at (0.000, 0.250, 0.787).

The total energy comes out at -5.798 eV per atom. As for the density of states at the Fermi level: 7.05 states/eV per cell. Its formation energy is -0.4620 eV per atom.

***

3.
## Hf5Ga6 (GGA-PBE)

Data for a relaxed Hf5Ga6 crystal.

The space group is C2/m (No. 12) and the conventional cell measures 5.549, 11.988 and 6.830 Å, with angles of 90.00, 111.72 and 90.00 degrees. The asymmetric unit holds Hf at (0.000, 0.000, 0.000), Hf at (0.000, 0.287, 0.000), Hf at (0.000, 0.351, 0.500), Ga at (0.049, 0.141, 0.694) and Ga at (0.061, 0.500, 0.204).

The total energy comes out at -6.491 eV per atom. As for the density of states at the Fermi level: 14.56 states/eV per cell. Its formation energy is -0.3154 eV per atom. The excess energy over the best structure of this formula in the dataset is 144 meV per atom.

***

4.
## HfGa (GGA-PBE)

Data for a relaxed HfGa crystal.

The space group is Fm-3m (No. 225) and the conventional cell measures 5.451, 5.451 and 5.451 Å, with angles of 90.00, 90.00 and 90.00 degrees. The asymmetric unit holds Hf at (0.000, 0.000, 0.000) and Ga at (0.000, 0.000, 0.500).

The total energy comes out at -6.643 eV per atom. As for the density of states at the Fermi level: 2.48 states/eV per cell. Its formation energy is -0.1533 eV per atom.

***

5.
## HfGa (GGA-PBE)

Data for a relaxed HfGa crystal.

The space group is F-43m (No. 216) and the conventional cell measures 6.093, 6.093 and 6.093 Å, with angles of 90.00, 90.00 and 90.00 degrees. The asymmetric unit holds Hf at (0.000, 0.000, 0.000) and Ga at (0.250, 0.250, 0.250).

The total energy comes out at -5.521 eV per atom. As for the density of states at the Fermi level: 10.12 states/eV per cell. Its formation energy is 0.9689 eV per atom.

***

6.
## Hf6Ga5 (GGA-PBE)

Data for a relaxed Hf6Ga5 crystal.

The space group is C2/m (No. 12) and the conventional cell measures 7.114, 14.274 and 5.322 Å, with angles of 90.00, 125.36 and 90.00 degrees. The asymmetric unit holds Hf at (0.151, 0.000, 0.363), Hf at (0.245, 0.174, 0.756), Ga at (0.000, 0.158, 0.000), Ga at (0.000, 0.355, 0.500) and Ga at (0.000, 0.500, 0.000).

The total energy comes out at -7.003 eV per atom. As for the density of states at the Fermi level: 16.76 states/eV per cell. Its formation energy is -0.1979 eV per atom.

***

7.
## HfGa (GGA-PBE)

Data for a relaxed HfGa crystal.

The space group is P6_3/m (No. 176) and the conventional cell measures 7.5749, 7.5749 and 5.0637 Å, with angles of 90.00, 90.00 and 120.00 degrees. The asymmetric unit holds Hf at (0.0806, 0.4549, 0.2500) and Ga at (0.0441, 0.2369, 0.7500).

The total energy comes out at -6.418 eV per atom. As for the density of states at the Fermi level: 11.61 states/eV per cell. Its formation energy is 0.0724 eV per atom.

***

8.
## HfGa (GGA-PBE)

Data for a relaxed HfGa crystal.

The space group is I-43m (No. 217) and the conventional cell measures 8.544, 8.544 and 8.544 Å, with angles of 90.00, 90.00 and 90.00 degrees. The asymmetric unit holds Hf at (0.122, 0.122, 0.878) and Ga at (0.191, 0.191, 0.191).

The total energy comes out at -5.599 eV per atom. As for the density of states at the Fermi level: 18.33 states/eV per cell. Its formation energy is 0.8912 eV per atom.

***

9.
## HfGa (GGA-PBE)

Data for a relaxed HfGa crystal.

The space group is P4/m (No. 83) and the conventional cell measures 8.377, 8.377 and 4.817 Å, with angles of 90.00, 90.00 and 90.00 degrees. The asymmetric unit holds Hf at (0.065, 0.692, 0.000), Hf at (0.132, 0.212, 0.500), Ga at (0.159, 0.541, 0.500) and Ga at (0.282, 0.404, 0.000).

The total energy comes out at -6.471 eV per atom. As for the density of states at the Fermi level: 10.19 states/eV per cell. Its formation energy is 0.0193 eV per atom.

***

10.
## Hf4GaHg2 (GGA-PBE)

Data for a relaxed Hf4GaHg2 crystal.

The space group is I4/mmm (No. 139) and the conventional cell measures 4.914, 4.914 and 14.109 Å, with angles of 90.00, 90.00 and 90.00 degrees. The asymmetric unit holds Hf at (0.000, 0.000, 0.182), Hf at (0.000, 0.500, 0.000), Ga at (0.000, 0.000, 0.000) and Hg at (0.000, 0.000, 0.378).

The total energy comes out at -5.773 eV per atom. As for the density of states at the Fermi level: 9.13 states/eV per cell. Its formation energy is 0.4335 eV per atom.

***

11.
## Hf4GaHg (GGA-PBE)

Data for a relaxed Hf4GaHg crystal.

The space group is P4/mcc (No. 124) and the conventional cell measures 6.793, 6.793 and 5.449 Å, with angles of 90.00, 90.00 and 90.00 degrees. The asymmetric unit holds Hf at (0.144, 0.339, 0.000), Ga at (0.000, 0.000, 0.250) and Hg at (0.500, 0.500, 0.250).

The total energy comes out at -7.345 eV per atom. As for the density of states at the Fermi level: 15.14 states/eV per cell. Its formation energy is -0.1544 eV per atom.

***

12.
## Hf6Ga3Hg (GGA-PBE)

Data for a relaxed Hf6Ga3Hg crystal.

The space group is Cmcm (No. 63) and the conventional cell measures 10.680, 10.689 and 7.026 Å, with angles of 90.00, 90.00 and 90.00 degrees. The asymmetric unit holds Hf at (0.000, 0.171, 0.014), Hf at (0.184, 0.500, 0.000), Hf at (0.244, 0.253, 0.250), Ga at (0.000, 0.376, 0.250), Ga at (0.122, 0.007, 0.750) and Hg at (0.000, 0.372, 0.750).

The total energy comes out at -7.208 eV per atom. As for the density of states at the Fermi level: 40.08 states/eV per cell. Its formation energy is -0.2980 eV per atom.